# 1
This record from Alexandria describes Li3VP2O8 at its PBEsol-relaxed geometry. The functional is SCAN.

Unit cell a=5.1086 b=5.1086 c=13.1420 alpha=97.89 beta=97.89 gamma=53.89
Closest atoms and distances in Å follow each position.
Atoms (fractional coordinates):
Li1 0.0500 0.9500 0.7500  4 O 1.98-2.00
Li2 0.2965 0.3687 0.3451  4 O 2.00-2.17
Li3 0.3687 0.2965 0.8451  4 O 2.00-2.17
Li4 0.6313 0.7035 0.1549  4 O 2.00-2.17
Li5 0.7035 0.6313 0.6549  4 O 2.00-2.17
Li6 0.9500 0.0500 0.2500  4 O 1.98-2.00
V1 0.0000 0.0000 0.0000  6 O 1.91-2.11
V2 0.0000 0.0000 0.5000  6 O 1.91-2.11
P1 0.3202 0.3633 0.1143  4 O 1.54-1.57
P2 0.3633 0.3202 0.6143  4 O 1.54-1.57
P3 0.6367 0.6798 0.3857  4 O 1.54-1.57
P4 0.6798 0.6367 0.8857  4 O 1.54-1.57
O1 0.0289 0.3429 0.0840  1 P 1.55
O2 0.1758 0.5036 0.7112  1 P 1.54
O3 0.1871 0.7310 0.1321  1 P 1.57
O4 0.2177 0.5561 0.5278  1 P 1.54
O5 0.2690 0.8129 0.3679  1 P 1.57
O6 0.3429 0.0289 0.5840  1 P 1.55
O7 0.4439 0.7823 0.9722  1 P 1.54
O8 0.4964 0.8242 0.7888  1 P 1.54
O9 0.5036 0.1758 0.2112  1 P 1.54
O10 0.5561 0.2177 0.0278  1 P 1.54
O11 0.6571 0.9711 0.4160  1 P 1.55
O12 0.7310 0.1871 0.6321  1 P 1.57
O13 0.7823 0.4439 0.4722  1 P 1.54
O14 0.8129 0.2690 0.8679  1 P 1.57
O15 0.8242 0.4964 0.2888  1 P 1.54
O16 0.9711 0.6571 0.9160  1 P 1.55

Its size of the total moment is 4.00 Bohr magnetons per cell. As for the formation energy without anion corrections: -2.61 eV/atom.

# 2
This record from Alexandria describes CaMnC2 at its PBEsol-relaxed geometry. The functional is SCAN.

Unit cell a=6.4052 b=6.4052 c=6.4052 alpha=139.98 beta=139.98 gamma=57.88
Closest atoms and distances in Å follow each position.
Atoms (fractional coordinates):
Ca1 0.3750 0.6250 0.7500  8 C 2.82, 4 Mn 3.10
Ca2 0.6250 0.3750 0.2500  8 C 2.82, 4 Mn 3.10
Mn1 0.1250 0.8750 0.2500  4 C 1.78
Mn2 0.8750 0.1250 0.7500  4 C 1.78
C1 0.0000 0.0000 0.0000  2 Mn 1.78
C2 0.0000 0.0000 0.5000  2 Mn 1.78
C3 0.0000 0.5000 0.0000  2 Mn 1.78
C4 0.5000 0.0000 0.5000  2 Mn 1.78

The energy of formation comes out at 183 meV/atom. The density of states at the Fermi level comes out at 0.517 states/eV per atom. Its size of the total moment is 0.00 Bohr magnetons per cell.

# 3
This record from Alexandria describes KPdOF2 at its PBEsol-relaxed geometry. The functional is SCAN.

Unit cell a=4.5551 b=4.5551 c=4.6291 alpha=90.00 beta=90.00 gamma=90.00
Closest atoms and distances in Å follow each position.
Atoms (fractional coordinates):
K1 0.0000 0.0000 0.0000  4 F 2.28, 2 O 2.31
Pd1 0.5000 0.5000 0.5000  4 O 3.22, 8 F 3.25
O1 0.0000 0.0000 0.5000  2 K 2.31
F1 0.0000 0.5000 0.0000  2 K 2.28
F2 0.5000 0.0000 0.0000  2 K 2.28

The density of states at the Fermi level comes out at 0.737 states/eV per atom. Its size of the total moment is 3.00 Bohr magnetons per cell. As for the formation energy without anion corrections: -0.15 eV/atom.

no.,VASP energy (eV/cell)
1,-263.64
2,-94.77
3,-55.18